[1]
Mg2Pd2Au: optimized geometry, PBE.

The structure belongs to space group P4/mbm (No. 127); the cell edges are 7.314, 7.314 and 3.232 Å and the angles 90.00°, 90.00° and 90.00°. The asymmetric unit holds Mg at (0.165, 0.335, 0.000), Pd at (0.134, 0.634, 0.500) and Au at (0.000, 0.000, 0.500).

As for the energy above the lowest structure with this stoichiometry: 0.035 eV per atom. The formation energy comes out at -0.56 eV per atom. Its density of states at the Fermi level is 3.0 states/eV per cell. As for the volume: 17.286 Å³ per atom.

[2]
MgPd2Au2: optimized geometry, PBE.

The structure belongs to space group I4/mmm (No. 139); the cell edges are 3.735, 3.735 and 13.545 Å and the angles 90.00°, 90.00° and 90.00°. The asymmetric unit holds Mg at (0.000, 0.000, 0.000), Pd at (0.000, 0.500, 0.250) and Au at (0.000, 0.000, 0.402).

As for the energy above the lowest structure with this stoichiometry: 0.264 eV per atom. The formation energy comes out at -0.15 eV per atom. Its density of states at the Fermi level is 3.6 states/eV per cell. As for the volume: 18.891 Å³ per atom.

[3]
Mg8Pd5Au: optimized geometry, PBE.

The structure belongs to space group I-4 (No. 82); the cell edges are 7.928, 7.928 and 8.061 Å and the angles 90.00°, 90.00° and 90.00°. The asymmetric unit holds Mg at (0.071, 0.327, 0.072), Mg at (0.085, 0.173, 0.726), Pd at (0.000, 0.000, 0.000), Pd at (0.118, 0.227, 0.402) and Au at (0.000, 0.500, 0.750).

The formation energy comes out at -0.52 eV per atom. Its density of states at the Fermi level is 10.6 states/eV per cell. As for the volume: 18.094 Å³ per atom.

[4]
MgPd6Au: optimized geometry, PBE.

The structure belongs to space group R-3m (No. 166, hexagonal axes); the cell edges are 5.2803, 5.2803 and 20.9235 Å and the angles 90.00°, 90.00° and 120.00°. The asymmetric unit holds Mg at (0.0000, 0.0000, 0.0000), Pd at (0.0033, 0.5017, 0.4365) and Au at (0.0000, 0.0000, 0.5000).

As for the energy above the lowest structure with this stoichiometry: 0.537 eV per atom. The formation energy comes out at 0.27 eV per atom. Its density of states at the Fermi level is 26.8 states/eV per cell. As for the volume: 21.051 Å³ per atom.

[5]
MgPd2Au4: optimized geometry, PBE.

The structure belongs to space group I-42d (No. 122); the cell edges are 8.024, 8.024 and 7.992 Å and the angles 90.00°, 90.00° and 90.00°. The asymmetric unit holds Mg at (0.000, 0.000, 0.000), Pd at (0.127, 0.250, 0.625) and Au at (0.082, 0.168, 0.290).

As for the energy above the lowest structure with this stoichiometry: 0.105 eV per atom. The formation energy comes out at -0.13 eV per atom. Its density of states at the Fermi level is 7.1 states/eV per cell. As for the volume: 18.374 Å³ per atom.

[6]
Mg3PdAu: optimized geometry, PBE.

The structure belongs to space group P2_1 (No. 4); the cell edges are 4.764, 4.769 and 8.193 Å and the angles 90.00°, 106.64° and 90.00°. The asymmetric unit holds Mg at (0.059, 0.000, 0.118), Mg at (0.250, 0.999, 0.499), Mg at (0.439, 0.999, 0.877), Pd at (0.147, 0.500, 0.296) and Au at (0.349, 0.499, 0.697).

As for the energy above the lowest structure with this stoichiometry: 0.000 eV per atom. The formation energy comes out at -0.56 eV per atom. Its density of states at the Fermi level is 3.2 states/eV per cell. As for the volume: 17.836 Å³ per atom.

[7]
Mg4PdAu: optimized geometry, PBE.

The structure belongs to space group P4/mmm (No. 123); the cell edges are 4.529, 4.529 and 6.341 Å and the angles 90.00°, 90.00° and 90.00°. The asymmetric unit holds Mg at (0.000, 0.500, 0.244), Pd at (0.000, 0.000, 0.000) and Au at (0.500, 0.500, 0.500).

As for the energy above the lowest structure with this stoichiometry: 0.000 eV per atom. The formation energy comes out at -0.42 eV per atom. Its density of states at the Fermi level is 3.5 states/eV per cell. As for the volume: 21.678 Å³ per atom.

[8]
MgPd5Au2: optimized geometry, PBE.

The structure belongs to space group I4/mmm (No. 139); the cell edges are 5.707, 5.707 and 7.919 Å and the angles 90.00°, 90.00° and 90.00°. The asymmetric unit holds Mg at (0.000, 0.000, 0.000), Pd at (0.000, 0.000, 0.500), Pd at (0.250, 0.250, 0.250) and Au at (0.000, 0.500, 0.000).

As for the energy above the lowest structure with this stoichiometry: 0.005 eV per atom. The formation energy comes out at -0.30 eV per atom. Its density of states at the Fermi level is 17.8 states/eV per cell. As for the volume: 16.120 Å³ per atom.